1.
Entry from the Alexandria database: a geometry-optimized Er2SnH structure (PBE).

Calculated values
For the density of states at the Fermi level, the calculation gives 4.1 states/eV per cell. Its space group is R-3m. The excess energy over the best structure of this formula in the dataset is 1.887 eV/f.u.

Lattice parameters (Å, degrees): 7.285 7.285 7.285 37.59 37.59 37.59
Atoms (fractional coordinates):
Er 0.102 0.102 0.102
Er 0.898 0.898 0.898
Sn 0.500 0.500 0.500
H 0.000 0.000 0.000



2.
Entry from the Alexandria database: a geometry-optimized Er2SnH structure (PBE).

Calculated values
For the density of states at the Fermi level, the calculation gives 4.3 states/eV per cell. Its space group is P4/nmm. The excess energy over the best structure of this formula in the dataset is 0.000 eV/f.u.

Lattice parameters (Å, degrees): 4.472 4.472 8.385 90.00 90.00 90.00
Atoms (fractional coordinates):
Er 0.250 0.250 0.152
Er 0.250 0.750 0.500
Er 0.750 0.250 0.500
Er 0.750 0.750 0.848
Sn 0.250 0.250 0.782
Sn 0.750 0.750 0.218
H 0.250 0.250 0.420
H 0.750 0.750 0.580



3.
Entry from the Alexandria database: a geometry-optimized Er5Sn2H structure (PBE).

Calculated values
For the density of states at the Fermi level, the calculation gives 9.2 states/eV per cell. Its space group is I4mm.

Lattice parameters (Å, degrees): 6.544 6.544 6.544 116.94 116.94 95.39
Atoms (fractional coordinates):
Er 0.000 0.000 0.000
Er 0.496 0.496 0.501
Er 0.496 0.995 0.000
Er 0.995 0.496 0.000
Er 0.995 0.995 0.499
Sn 0.496 0.996 0.500
Sn 0.996 0.496 0.500
H 0.250 0.250 0.000



4.
Entry from the Alexandria database: a geometry-optimized Er4Sn2H structure (PBE).

Calculated values
For the density of states at the Fermi level, the calculation gives 9.9 states/eV per cell. Its space group is P2_1/m. The excess energy over the best structure of this formula in the dataset is 0.000 eV/f.u.

Lattice parameters (Å, degrees): 6.220 6.441 8.995 90.00 109.55 90.00
Atoms (fractional coordinates):
Er 0.038 0.001 0.295
Er 0.038 0.499 0.295
Er 0.367 0.750 0.057
Er 0.430 0.750 0.649
Er 0.570 0.250 0.351
Er 0.633 0.250 0.943
Er 0.962 0.501 0.705
Er 0.962 0.999 0.705
Sn 0.188 0.250 0.030
Sn 0.336 0.250 0.599
Sn 0.664 0.750 0.401
Sn 0.812 0.750 0.970
H 0.211 0.750 0.796
H 0.789 0.250 0.204



5.
Entry from the Alexandria database: a geometry-optimized Er3SnH structure (PBE).

Calculated values
For the density of states at the Fermi level, the calculation gives 8.6 states/eV per cell. Its space group is P2_1/m. The excess energy over the best structure of this formula in the dataset is 0.366 eV/f.u.

Lattice parameters (Å, degrees): 7.664 3.523 8.611 90.00 90.48 90.00
Atoms (fractional coordinates):
Er 0.063 0.250 0.164
Er 0.224 0.250 0.550
Er 0.347 0.750 0.896
Er 0.653 0.250 0.104
Er 0.776 0.750 0.450
Er 0.937 0.750 0.836
Sn 0.389 0.750 0.281
Sn 0.611 0.250 0.719
H 0.128 0.250 0.907
H 0.872 0.750 0.093



6.
Entry from the Alexandria database: a geometry-optimized Er2Sn2H structure (PBE).

Calculated values
For the density of states at the Fermi level, the calculation gives 6.0 states/eV per cell. Its space group is Ibam.

Lattice parameters (Å, degrees): 7.558 7.558 7.558 134.05 66.82 134.29
Atoms (fractional coordinates):
Er 0.068 0.241 0.309
Er 0.432 0.741 0.173
Er 0.568 0.259 0.827
Er 0.932 0.759 0.691
Sn 0.186 0.726 0.912
Sn 0.314 0.226 0.540
Sn 0.686 0.774 0.460
Sn 0.814 0.274 0.088
H 0.250 0.250 0.000
H 0.750 0.750 0.000



7.
Entry from the Alexandria database: a geometry-optimized Er12Sn3H5 structure (PBE).

Calculated values
For the density of states at the Fermi level, the calculation gives 55.7 states/eV per cell. Its space group is Ia-3d.

Lattice parameters (Å, degrees): 13.370 13.370 13.370 109.47 109.47 109.47
Atoms (fractional coordinates):
Er 0.012 0.205 0.109
Er 0.012 0.307 0.903
Er 0.096 0.705 0.693
Er 0.096 0.891 0.403
Er 0.097 0.609 0.404
Er 0.097 0.988 0.693
Er 0.109 0.012 0.205
Er 0.109 0.597 0.904
Er 0.193 0.205 0.596
Er 0.193 0.488 0.597
Er 0.205 0.109 0.012
Er 0.205 0.596 0.193
Er 0.295 0.307 0.904
Er 0.295 0.488 0.391
Er 0.307 0.903 0.012
Er 0.307 0.904 0.295
Er 0.391 0.295 0.488
Er 0.391 0.596 0.903
Er 0.403 0.096 0.891
Er 0.403 0.807 0.512
Er 0.404 0.097 0.609
Er 0.404 0.807 0.795
Er 0.488 0.391 0.295
Er 0.488 0.597 0.193
Er 0.512 0.403 0.807
Er 0.512 0.609 0.705
Er 0.596 0.193 0.205
Er 0.596 0.903 0.391
Er 0.597 0.193 0.488
Er 0.597 0.904 0.109
Er 0.609 0.404 0.097
Er 0.609 0.705 0.512
Er 0.693 0.096 0.705
Er 0.693 0.097 0.988
Er 0.705 0.512 0.609
Er 0.705 0.693 0.096
Er 0.795 0.404 0.807
Er 0.795 0.891 0.988
Er 0.807 0.512 0.403
Er 0.807 0.795 0.404
Er 0.891 0.403 0.096
Er 0.891 0.988 0.795
Er 0.903 0.012 0.307
Er 0.903 0.391 0.596
Er 0.904 0.109 0.597
Er 0.904 0.295 0.307
Er 0.988 0.693 0.097
Er 0.988 0.795 0.891
Sn 0.125 0.250 0.375
Sn 0.125 0.375 0.750
Sn 0.250 0.375 0.125
Sn 0.250 0.875 0.625
Sn 0.375 0.125 0.250
Sn 0.375 0.750 0.125
Sn 0.625 0.250 0.875
Sn 0.625 0.875 0.750
Sn 0.750 0.125 0.375
Sn 0.750 0.625 0.875
Sn 0.875 0.625 0.250
Sn 0.875 0.750 0.625
H 0.000 0.000 0.000
H 0.000 0.000 0.500
H 0.000 0.500 0.000
H 0.000 0.500 0.500
H 0.125 0.750 0.875
H 0.125 0.875 0.250
H 0.250 0.125 0.875
H 0.250 0.625 0.375
H 0.375 0.250 0.625
H 0.375 0.625 0.750
H 0.500 0.000 0.000
H 0.500 0.000 0.500
H 0.500 0.500 0.000
H 0.500 0.500 0.500
H 0.625 0.375 0.250
H 0.625 0.750 0.375
H 0.750 0.375 0.625
H 0.750 0.875 0.125
H 0.875 0.125 0.750
H 0.875 0.250 0.125



8.
Entry from the Alexandria database: a geometry-optimized Er4Sn2H structure (PBE).

Calculated values
For the density of states at the Fermi level, the calculation gives 6.1 states/eV per cell. Its space group is I4/mmm. The excess energy over the best structure of this formula in the dataset is 0.113 eV/f.u.

Lattice parameters (Å, degrees): 8.852 8.852 8.852 150.39 150.39 42.36
Atoms (fractional coordinates):
Er 0.000 0.500 0.500
Er 0.176 0.176 0.000
Er 0.500 0.000 0.500
Er 0.824 0.824 0.000
Sn 0.363 0.363 0.000
Sn 0.637 0.637 0.000
H 0.000 0.000 0.000



9.
Entry from the Alexandria database: a geometry-optimized Er6Sn3H structure (PBE).

Calculated values
For the density of states at the Fermi level, the calculation gives 16.7 states/eV per cell. Its space group is Cmc2_1.

Lattice parameters (Å, degrees): 9.229 9.229 6.134 90.00 90.00 100.18
Atoms (fractional coordinates):
Er 0.093 0.907 0.500
Er 0.107 0.538 0.296
Er 0.230 0.333 0.876
Er 0.300 0.700 0.769
Er 0.333 0.230 0.376
Er 0.462 0.893 0.296
Er 0.538 0.107 0.796
Er 0.667 0.770 0.876
Er 0.700 0.300 0.269
Er 0.770 0.667 0.376
Er 0.893 0.462 0.796
Er 0.907 0.093 0.000
Sn 0.009 0.234 0.499
Sn 0.234 0.009 0.999
Sn 0.459 0.541 0.174
Sn 0.541 0.459 0.674
Sn 0.766 0.991 0.499
Sn 0.991 0.766 0.999
H 0.249 0.751 0.432
H 0.751 0.249 0.932



10.
Entry from the Alexandria database: a geometry-optimized Er3SnH structure (PBE).

Calculated values
For the density of states at the Fermi level, the calculation gives 4.6 states/eV per cell. Its space group is Pm-3m. The excess energy over the best structure of this formula in the dataset is 0.000 eV/f.u.

Lattice parameters (Å, degrees): 4.760 4.760 4.760 90.00 90.00 90.00
Atoms (fractional coordinates):
Er 0.000 0.000 0.500
Er 0.000 0.500 0.000
Er 0.500 0.000 0.000
Sn 0.500 0.500 0.500
H 0.000 0.000 0.000



11.
Entry from the Alexandria database: a geometry-optimized Er8Sn2H structure (PBE).

Calculated values
For the density of states at the Fermi level, the calculation gives 13.5 states/eV per cell. Its space group is C2/m.

Lattice parameters (Å, degrees): 9.027 9.027 6.881 91.99 91.99 31.42
Atoms (fractional coordinates):
Er 0.000 0.000 0.244
Er 0.000 0.000 0.756
Er 0.204 0.204 0.275
Er 0.381 0.381 0.000
Er 0.397 0.397 0.496
Er 0.603 0.603 0.504
Er 0.619 0.619 0.000
Er 0.796 0.796 0.725
Sn 0.191 0.191 0.757
Sn 0.809 0.809 0.243
H 0.500 0.500 0.000



12.
Entry from the Alexandria database: a geometry-optimized Er2SnH structure (PBE).

Calculated values
For the density of states at the Fermi level, the calculation gives 13.7 states/eV per cell. Its space group is P2_1/c. The excess energy over the best structure of this formula in the dataset is 0.589 eV/f.u.

Lattice parameters (Å, degrees): 8.120 6.337 6.739 90.00 98.99 90.00
Atoms (fractional coordinates):
Er 0.027 0.103 0.283
Er 0.027 0.397 0.783
Er 0.339 0.664 0.555
Er 0.339 0.836 0.055
Er 0.661 0.164 0.945
Er 0.661 0.336 0.445
Er 0.973 0.603 0.217
Er 0.973 0.897 0.717
Sn 0.329 0.163 0.640
Sn 0.329 0.337 0.140
Sn 0.671 0.663 0.860
Sn 0.671 0.837 0.360
H 0.187 0.686 0.791
H 0.187 0.814 0.291
H 0.813 0.186 0.709
H 0.813 0.314 0.209



no.,total DFT energy (no corrections) (eV/atom),size of the total moment (Bohr magnetons per cell)
1,-4.30,0.0
2,-4.77,0.0
3,-4.63,0.0
4,-4.84,0.0
5,-4.59,0.0
6,-4.59,0.0
7,-4.50,0.0
8,-4.82,0.5
9,-4.74,0.0
10,-4.67,0.9
11,-4.63,0.0
12,-4.63,0.0